# 1
SnHRh | the Alexandria database | PBE-GGA | relaxed; size of the total moment = 0.000 μB/atom; excess energy over the best structure of this formula in the dataset = 0.000 eV/atom; mass density = 8.86 g/cm³; DFT total energy = -5.028 eV per atom; density of states at the Fermi level = 0.3343 states/eV/atom
1.0
3.248 0.000 0.000
0.000 5.326 0.000
0.000 0.000 9.651
Sn H Rh
4 4 4
direct
0.004 0.000 0.050 Sn
0.496 0.000 0.550 Sn
0.504 0.500 0.950 Sn
0.996 0.500 0.450 Sn
0.212 0.249 0.751 H
0.288 0.751 0.251 H
0.712 0.251 0.249 H
0.788 0.749 0.749 H
0.004 0.500 0.173 Rh
0.496 0.500 0.673 Rh
0.504 0.000 0.827 Rh
0.996 0.000 0.327 Rh

***

# 2
Na2SrLiH | the Alexandria database | PBE-GGA | relaxed; size of the total moment = 0.000 μB/atom; mass density = 1.68 g/cm³; DFT total energy = -1.949 eV per atom; density of states at the Fermi level = 0.4300 states/eV/atom
1.0
5.281 0.000 0.000
0.000 5.281 0.000
0.000 0.000 5.009
Na Sr Li H
2 1 1 1
direct
0.000 0.500 0.000 Na
0.500 0.000 0.000 Na
0.000 0.000 0.500 Sr
0.500 0.500 0.500 Li
0.000 0.000 0.000 H

***

# 3
BeTlFe | the Alexandria database | PBE-GGA | relaxed; size of the total moment = 0.102 μB/atom; formation enthalpy at 0 K = 0.65 eV per atom; excess energy over the best structure of this formula in the dataset = 0.161 eV/atom; mass density = 10.43 g/cm³; DFT total energy = -4.203 eV per atom; density of states at the Fermi level = 0.8293 states/eV/atom
1.0
3.845 0.000 0.000
-1.923 3.330 0.000
0.000 0.000 3.349
Be Tl Fe
1 1 1
direct
0.000 0.000 0.000 Be
0.667 0.333 0.500 Tl
0.333 0.667 0.000 Fe

***

# 4
Nd12ZnNi6 | the Alexandria database | PBE-GGA | relaxed; size of the total moment = 0.000 μB/atom; formation enthalpy at 0 K = -0.23 eV per atom; excess energy over the best structure of this formula in the dataset = 0.000 eV/atom; mass density = 7.12 g/cm³; DFT total energy = -5.132 eV per atom; density of states at the Fermi level = 0.8772 states/eV/atom
1.0
-5.003 5.003 5.003
5.003 -5.003 5.003
5.003 5.003 -5.003
Nd Zn Ni
12 1 6
direct
0.119 0.815 0.305 Nd
0.185 0.305 0.490 Nd
0.185 0.695 0.881 Nd
0.305 0.119 0.815 Nd
0.305 0.490 0.185 Nd
0.490 0.185 0.305 Nd
0.510 0.815 0.695 Nd
0.695 0.510 0.815 Nd
0.695 0.881 0.185 Nd
0.815 0.305 0.119 Nd
0.815 0.695 0.510 Nd
0.881 0.185 0.695 Nd
0.000 0.000 0.000 Zn
0.122 0.622 0.500 Ni
0.378 0.500 0.878 Ni
0.500 0.122 0.622 Ni
0.500 0.878 0.378 Ni
0.622 0.500 0.122 Ni
0.878 0.378 0.500 Ni

***

# 5
UCu3Cl9 | the Alexandria database | PBE-GGA | relaxed; size of the total moment = 0.118 μB/atom; ΔE_f (raw) = -13.07 eV/f.u.; mass density = 3.08 g/cm³; DFT total energy = -4.097 eV per atom; density of states at the Fermi level = 0.8155 states/eV/atom
1.0
8.805 -4.635 0.000
8.805 4.635 0.000
-7.337 0.000 9.888
U Cu Cl
2 6 18
direct
0.234 0.766 0.500 U
0.766 0.234 0.000 U
0.353 0.947 0.096 Cu
0.490 0.765 0.267 Cu
0.765 0.490 0.767 Cu
0.765 0.861 0.089 Cu
0.861 0.765 0.589 Cu
0.947 0.353 0.596 Cu
0.051 0.522 0.636 Cl
0.066 0.880 0.652 Cl
0.075 0.182 0.049 Cl
0.182 0.075 0.549 Cl
0.285 0.469 0.450 Cl
0.290 0.754 0.068 Cl
0.406 0.649 0.350 Cl
0.469 0.285 0.950 Cl
0.503 0.751 0.708 Cl
0.522 0.051 0.136 Cl
0.624 0.914 0.459 Cl
0.649 0.406 0.850 Cl
0.751 0.503 0.208 Cl
0.754 0.290 0.568 Cl
0.794 0.954 0.804 Cl
0.880 0.066 0.152 Cl
0.914 0.624 0.959 Cl
0.954 0.794 0.304 Cl

***

# 6
HRhI2N | the Alexandria database | PBE-GGA | relaxed; size of the total moment = 0.368 μB/atom; excess energy over the best structure of this formula in the dataset = 0.479 eV/atom; mass density = 7.23 g/cm³; DFT total energy = -3.143 eV per atom; density of states at the Fermi level = 0.5604 states/eV/atom
1.0
5.363 0.000 0.000
0.000 5.363 0.000
0.000 0.000 2.969
H Rh I N
1 1 2 1
direct
0.000 0.000 0.000 H
0.500 0.500 0.500 Rh
0.000 0.500 0.000 I
0.500 0.000 0.000 I
0.000 0.000 0.500 N

***

# 7
Cd2InAg | the Alexandria database | PBE-GGA | relaxed; size of the total moment = 0.000 μB/atom; formation enthalpy at 0 K = 0.02 eV per atom; mass density = 8.33 g/cm³; DFT total energy = -1.831 eV per atom; density of states at the Fermi level = 0.2383 states/eV/atom
1.0
1.622 0.937 9.782
-1.622 0.937 9.782
0.000 -1.873 9.782
Cd In Ag
2 1 1
direct
0.000 0.000 0.000 Cd
0.179 0.179 0.179 Cd
0.423 0.423 0.423 In
0.589 0.589 0.589 Ag

***

# 8
Ac3Ag4Pd2 | the Alexandria database | PBE-GGA | relaxed; size of the total moment = 0.000 μB/atom; formation enthalpy at 0 K = -0.41 eV per atom; excess energy over the best structure of this formula in the dataset = 0.070 eV/atom; mass density = 9.56 g/cm³; DFT total energy = -4.200 eV per atom; density of states at the Fermi level = 0.4630 states/eV/atom
1.0
5.179 0.000 0.000
2.576 5.291 0.000
2.580 1.972 8.398
Ac Ag Pd
3 4 2
direct
0.000 0.000 0.000 Ac
0.392 0.854 0.362 Ac
0.608 0.146 0.638 Ac
0.092 0.473 0.342 Ag
0.304 0.359 0.035 Ag
0.696 0.641 0.965 Ag
0.908 0.527 0.658 Ag
0.273 0.727 0.730 Pd
0.727 0.273 0.270 Pd

***

# 9
Ho6Ga3Co | the Alexandria database | PBE-GGA | relaxed; size of the total moment = 0.000 μB/atom; formation enthalpy at 0 K = -0.35 eV per atom; mass density = 8.73 g/cm³; DFT total energy = -4.716 eV per atom; density of states at the Fermi level = 0.6411 states/eV/atom
1.0
8.620 0.000 0.000
0.000 11.072 0.000
0.000 0.000 5.012
Ho Ga Co
12 6 2
direct
0.005 0.241 0.000 Ho
0.159 0.083 0.500 Ho
0.180 0.422 0.500 Ho
0.320 0.922 0.000 Ho
0.341 0.583 0.000 Ho
0.495 0.741 0.500 Ho
0.505 0.259 0.500 Ho
0.659 0.417 0.000 Ho
0.680 0.078 0.000 Ho
0.820 0.578 0.500 Ho
0.841 0.917 0.500 Ho
0.995 0.759 0.000 Ho
0.000 0.500 0.000 Ga
0.162 0.747 0.500 Ga
0.338 0.247 0.000 Ga
0.500 0.000 0.500 Ga
0.662 0.753 0.000 Ga
0.838 0.253 0.500 Ga
0.000 0.000 0.000 Co
0.500 0.500 0.500 Co

***

# 10
Rb2TaSbBr6 | the Alexandria database | PBE-GGA | relaxed; size of the total moment = 0.200 μB/atom; ΔE_f (raw) = -8.07 eV/f.u.; mass density = 4.04 g/cm³; DFT total energy = -3.602 eV per atom; density of states at the Fermi level = 0.8126 states/eV/atom
1.0
-3.919 3.919 6.380
3.919 -3.919 6.380
3.919 3.919 -6.380
Rb Ta Sb Br
2 1 1 6
direct
0.250 0.750 0.500 Rb
0.750 0.250 0.500 Rb
0.000 0.000 0.000 Ta
0.500 0.500 0.000 Sb
0.205 0.205 0.000 Br
0.236 0.236 0.473 Br
0.236 0.764 0.000 Br
0.764 0.236 0.000 Br
0.764 0.764 0.527 Br
0.795 0.795 0.000 Br

***

# 11
BeSi3Pb | the Alexandria database | PBE-GGA | relaxed; size of the total moment = 0.000 μB/atom; ΔE_f (raw) = 9.94 eV/f.u.; excess energy over the best structure of this formula in the dataset = 1.314 eV/atom; mass density = 3.41 g/cm³; DFT total energy = -2.752 eV per atom; density of states at the Fermi level = 0.7877 states/eV/atom
1.0
5.270 0.000 0.000
0.000 5.270 0.000
0.000 0.000 5.270
Be Si Pb
1 3 1
direct
0.000 0.000 0.000 Be
0.000 0.500 0.500 Si
0.500 0.000 0.500 Si
0.500 0.500 0.000 Si
0.500 0.500 0.500 Pb

***

# 12
Sc2VSi2Rh5 | the Alexandria database | PBE-GGA | relaxed; size of the total moment = 0.072 μB/atom; ΔE_f (raw) = -8.32 eV/f.u.; mass density = 7.77 g/cm³; DFT total energy = -7.770 eV per atom; density of states at the Fermi level = 0.6754 states/eV/atom
1.0
9.321 0.000 0.000
0.000 9.321 0.000
0.000 0.000 3.501
Sc V Si Rh
4 2 4 10
direct
0.172 0.328 0.000 Sc
0.328 0.828 0.000 Sc
0.672 0.172 0.000 Sc
0.828 0.672 0.000 Sc
0.000 0.000 0.000 V
0.500 0.500 0.000 V
0.126 0.626 0.000 Si
0.374 0.126 0.000 Si
0.626 0.874 0.000 Si
0.874 0.374 0.000 Si
0.000 0.500 0.500 Rh
0.069 0.796 0.500 Rh
0.204 0.069 0.500 Rh
0.296 0.569 0.500 Rh
0.431 0.296 0.500 Rh
0.500 0.000 0.500 Rh
0.569 0.704 0.500 Rh
0.704 0.431 0.500 Rh
0.796 0.931 0.500 Rh
0.931 0.204 0.500 Rh

***

# 13
ZrTi2Tc | the Alexandria database | PBE-GGA | relaxed; size of the total moment = 0.000 μB/atom; formation enthalpy at 0 K = 0.18 eV per atom; excess energy over the best structure of this formula in the dataset = 0.441 eV/atom; mass density = 6.38 g/cm³; DFT total energy = -8.495 eV per atom; density of states at the Fermi level = 1.1174 states/eV/atom
1.0
-3.608 3.608 2.850
3.608 -3.608 2.850
3.608 3.608 -2.850
Zr Ti Tc
2 4 2
direct
0.000 0.000 0.000 Zr
0.750 0.250 0.500 Zr
0.167 0.125 0.542 Ti
0.375 0.833 0.958 Ti
0.583 0.625 0.458 Ti
0.875 0.417 0.042 Ti
0.250 0.750 0.500 Tc
0.500 0.500 0.000 Tc

***

# 14
NdTmPb | the Alexandria database | PBE-GGA | relaxed; size of the total moment = 0.000 μB/atom; formation enthalpy at 0 K = -0.23 eV per atom; mass density = 9.16 g/cm³; DFT total energy = -4.547 eV per atom; density of states at the Fermi level = 0.7066 states/eV/atom
1.0
5.245 0.000 0.000
-2.623 4.543 0.000
0.000 0.000 3.960
Nd Tm Pb
1 1 1
direct
0.000 0.000 0.000 Nd
0.667 0.333 0.502 Tm
0.333 0.667 0.494 Pb

***

# 15
AsN | the Alexandria database | PBE-GGA | relaxed; size of the total moment = 0.000 μB/atom; ΔE_f (raw) = 2.13 eV/f.u.; excess energy over the best structure of this formula in the dataset = 1.059 eV/atom; mass density = 4.75 g/cm³; DFT total energy = -5.421 eV per atom; density of states at the Fermi level = 0.4178 states/eV/atom
1.0
0.000 2.496 2.496
2.496 0.000 2.496
2.496 2.496 0.000
As N
1 1
direct
0.000 0.000 0.000 As
0.250 0.250 0.250 N

***

# 16
Tb3ScGa8 | the Alexandria database | PBE-GGA | relaxed; size of the total moment = 0.000 μB/atom; formation enthalpy at 0 K = -0.55 eV per atom; mass density = 7.72 g/cm³; DFT total energy = -4.248 eV per atom; density of states at the Fermi level = 0.5638 states/eV/atom
1.0
2.725 1.573 9.030
-2.725 1.573 9.030
0.000 -3.147 9.030
Tb Sc Ga
3 1 8
direct
0.000 0.000 0.000 Tb
0.125 0.125 0.125 Tb
0.502 0.502 0.502 Tb
0.624 0.624 0.624 Sc
0.061 0.562 0.562 Ga
0.064 0.064 0.564 Ga
0.064 0.564 0.064 Ga
0.313 0.313 0.313 Ga
0.562 0.061 0.562 Ga
0.562 0.562 0.061 Ga
0.564 0.064 0.064 Ga
0.813 0.813 0.813 Ga

***

# 17
ScTlHg2 | the Alexandria database | PBE-GGA | relaxed; size of the total moment = 0.082 μB/atom; formation enthalpy at 0 K = -0.10 eV per atom; mass density = 11.15 g/cm³; DFT total energy = -2.423 eV per atom; density of states at the Fermi level = 0.5820 states/eV/atom
1.0
3.735 0.000 0.000
0.000 3.735 0.000
0.000 0.000 6.945
Sc Tl Hg
1 1 2
direct
0.000 0.000 0.000 Sc
0.500 0.500 0.258 Tl
0.000 0.000 0.535 Hg
0.500 0.500 0.782 Hg

***

# 18
NbAgSe2Br | the Alexandria database | PBE-GGA | relaxed; size of the total moment = 0.455 μB/atom; ΔE_f (raw) = 3.96 eV/f.u.; excess energy over the best structure of this formula in the dataset = 0.869 eV/atom; mass density = 5.60 g/cm³; DFT total energy = -3.520 eV per atom; density of states at the Fermi level = 1.0667 states/eV/atom
1.0
5.091 0.000 0.000
0.000 5.091 0.000
0.000 0.000 5.018
Nb Ag Se Br
1 1 2 1
direct
0.000 0.000 0.000 Nb
0.500 0.500 0.500 Ag
0.000 0.500 0.500 Se
0.500 0.000 0.500 Se
0.500 0.500 0.000 Br

***

# 19
KTbBr4 | the Alexandria database | PBE-GGA | relaxed; size of the total moment = 0.000 μB/atom; ΔE_f (raw) = -10.90 eV/f.u.; excess energy over the best structure of this formula in the dataset = 0.034 eV/atom; mass density = 3.56 g/cm³; DFT total energy = -3.887 eV per atom; density of states at the Fermi level = 0.0000 states/eV/atom
1.0
5.131 -5.387 0.000
5.131 5.387 0.000
0.000 0.000 4.369
K Tb Br
1 1 4
direct
0.000 0.000 0.000 K
0.500 0.500 0.500 Tb
0.231 0.231 0.500 Br
0.325 0.675 0.000 Br
0.675 0.325 0.000 Br
0.769 0.769 0.500 Br

***

# 20
ScSiTeN2 | the Alexandria database | PBE-GGA | relaxed; size of the total moment = 0.098 μB/atom; ΔE_f (raw) = 1.67 eV/f.u.; excess energy over the best structure of this formula in the dataset = 0.000 eV/atom; mass density = 4.83 g/cm³; DFT total energy = -5.975 eV per atom; density of states at the Fermi level = 0.3641 states/eV/atom
1.0
3.764 0.000 0.000
0.000 3.764 0.000
0.000 0.000 5.547
Sc Si Te N
1 1 1 2
direct
0.000 0.000 0.000 Sc
0.500 0.500 0.500 Si
0.500 0.500 0.000 Te
0.000 0.500 0.500 N
0.500 0.000 0.500 N

***

# 21
CoSbAs2 | the Alexandria database | PBE-GGA | relaxed; size of the total moment = 0.000 μB/atom; ΔE_f (raw) = 0.35 eV/f.u.; mass density = 7.23 g/cm³; DFT total energy = -5.044 eV per atom; density of states at the Fermi level = 0.4971 states/eV/atom
1.0
2.983 0.000 0.000
0.000 2.983 0.000
0.000 0.000 8.528
Co Sb As
1 1 2
direct
0.000 0.000 0.000 Co
0.000 0.000 0.500 Sb
0.500 0.500 0.168 As
0.500 0.500 0.832 As

***

# 22
Ba3In3Sn | the Alexandria database | PBE-GGA | relaxed; size of the total moment = 0.000 μB/atom; formation enthalpy at 0 K = -0.46 eV per atom; mass density = 5.41 g/cm³; DFT total energy = -3.034 eV per atom; density of states at the Fermi level = 0.7167 states/eV/atom
1.0
6.690 -2.436 0.000
6.690 2.436 0.000
-5.421 0.000 16.495
Ba In Sn
6 6 2
direct
0.015 0.015 0.389 Ba
0.114 0.114 0.925 Ba
0.238 0.238 0.234 Ba
0.762 0.762 0.766 Ba
0.886 0.886 0.075 Ba
0.985 0.985 0.611 Ba
0.339 0.339 0.460 In
0.401 0.401 0.922 In
0.481 0.481 0.770 In
0.519 0.519 0.230 In
0.599 0.599 0.078 In
0.661 0.661 0.540 In
0.285 0.285 0.620 Sn
0.715 0.715 0.380 Sn

***

# 23
Sm6Ge2Se3S | the Alexandria database | PBE-GGA | relaxed; size of the total moment = 0.000 μB/atom; ΔE_f (raw) = -19.23 eV/f.u.; mass density = 7.02 g/cm³; DFT total energy = -5.947 eV per atom; density of states at the Fermi level = 0.3592 states/eV/atom
1.0
9.140 -2.092 0.000
9.140 2.092 0.000
-2.001 0.000 8.144
Sm Ge Se S
6 2 3 1
direct
0.004 0.004 0.243 Sm
0.331 0.331 0.423 Sm
0.336 0.336 0.910 Sm
0.664 0.664 0.090 Sm
0.669 0.669 0.577 Sm
0.996 0.996 0.757 Sm
0.166 0.166 0.331 Ge
0.834 0.834 0.669 Ge
0.166 0.166 0.834 Se
0.500 0.500 0.500 Se
0.834 0.834 0.166 Se
0.500 0.500 0.000 S